Record 1
! PBE-GGA PrY12Er6, relaxed; values from VASP
! Total magnetization   0.000 μB/cell
! Formation enthalpy at 0 K   0.025 eV/atom
! SG   R-3, No. 148
! Raw total energy   -5.75 eV/atom
! E above lowest polymorph   0.0 meV/atom
! Fermi-level density of states   1.4880 states/eV/atom
&SYSTEM
  ibrav = 0, nat = 19, ntyp = 3
/
ATOMIC_SPECIES
Pr 140.91 Pr.upf
Y 88.91 Y.upf
Er 167.26 Er.upf
CELL_PARAMETERS angstrom
8.304 0.000 2.662
-4.134 7.752 3.375
0.035 0.000 9.411
ATOMIC_POSITIONS crystal
Pr 0.000 0.000 0.000
Y 0.524 0.842 0.265
Y 0.682 0.893 0.842
Y 0.789 0.265 0.893
Y 0.476 0.158 0.735
Y 0.318 0.107 0.158
Y 0.211 0.735 0.107
Y 0.264 0.423 0.630
Y 0.107 0.370 0.053
Y 0.160 0.053 0.577
Y 0.736 0.577 0.370
Y 0.893 0.630 0.947
Y 0.840 0.947 0.423
Er 0.421 0.473 0.210
Er 0.052 0.683 0.527
Er 0.368 0.790 0.683
Er 0.579 0.527 0.790
Er 0.948 0.317 0.473
Er 0.632 0.210 0.317

***

Record 2
! PBE-GGA PuSiH2, relaxed; values from VASP
! Total magnetization   2.547 μB/cell
! SG   R-3m, No. 166
! Raw total energy   -6.31 eV/atom
! E above lowest polymorph   593.9 meV/atom
! Fermi-level density of states   0.7111 states/eV/atom
&SYSTEM
  ibrav = 0, nat = 4, ntyp = 3
/
ATOMIC_SPECIES
H 1.01 H.upf
Si 28.09 Si.upf
Pu 244.00 Pu.upf
CELL_PARAMETERS angstrom
-1.647 -2.046 0.594
-0.001 -1.052 2.478
-5.442 3.461 2.931
ATOMIC_POSITIONS crystal
H 0.082 0.082 0.755
H 0.918 0.918 0.245
Si 0.000 0.000 0.000
Pu 0.500 0.500 0.500

***

Record 3
! PBE-GGA Pr2Se2N, relaxed; values from VASP
! Total magnetization   0.004 μB/cell
! SG   Ibam, No. 72
! Raw total energy   -6.41 eV/atom
! Fermi-level density of states   0.8601 states/eV/atom
! ΔE_f (raw)   -7.22 eV per formula unit
&SYSTEM
  ibrav = 0, nat = 10, ntyp = 3
/
ATOMIC_SPECIES
Pr 140.91 Pr.upf
Se 78.96 Se.upf
N 14.01 N.upf
CELL_PARAMETERS angstrom
6.053 0.000 0.000
0.000 6.866 0.000
-3.026 -3.433 5.961
ATOMIC_POSITIONS crystal
Pr 0.398 0.598 0.797
Pr 0.602 0.402 0.203
Pr 0.102 0.801 0.203
Pr 0.898 0.199 0.797
Se 0.856 0.705 0.711
Se 0.144 0.295 0.289
Se 0.644 0.994 0.289
Se 0.356 0.006 0.711
N 0.750 0.500 0.000
N 0.250 0.500 0.000

***

Record 4
! PBE-GGA BaTlBiBr6, relaxed; values from VASP
! Total magnetization   0.000 μB/cell
! SG   P-31c, No. 163
! Raw total energy   -3.27 eV/atom
! Fermi-level density of states   0.0000 states/eV/atom
! ΔE_f (raw)   -11.25 eV per formula unit
&SYSTEM
  ibrav = 0, nat = 18, ntyp = 4
/
ATOMIC_SPECIES
Ba 137.33 Ba.upf
Tl 204.38 Tl.upf
Bi 208.98 Bi.upf
Br 79.90 Br.upf
CELL_PARAMETERS angstrom
-2.074 -1.363 7.616
6.402 -3.663 -3.125
8.085 10.627 4.104
ATOMIC_POSITIONS crystal
Ba 0.333 0.667 0.250
Ba 0.667 0.333 0.750
Tl 0.000 0.000 0.000
Tl 0.000 0.000 0.500
Bi 0.667 0.333 0.250
Bi 0.333 0.667 0.750
Br 0.659 0.625 0.130
Br 0.966 0.341 0.130
Br 0.341 0.966 0.630
Br 0.034 0.659 0.870
Br 0.375 0.341 0.370
Br 0.966 0.625 0.370
Br 0.625 0.966 0.870
Br 0.659 0.034 0.370
Br 0.034 0.375 0.630
Br 0.375 0.034 0.130
Br 0.625 0.659 0.630
Br 0.341 0.375 0.870

***

Record 5
! PBE-GGA La2SiPd6, relaxed; values from VASP
! Total magnetization   0.000 μB/cell
! SG   P-3m1, No. 164
! Raw total energy   -6.00 eV/atom
! E above lowest polymorph   20.9 meV/atom
! Fermi-level density of states   0.4019 states/eV/atom
! ΔE_f (raw)   -7.60 eV per formula unit
&SYSTEM
  ibrav = 0, nat = 9, ntyp = 3
/
ATOMIC_SPECIES
La 138.91 La.upf
Si 28.09 Si.upf
Pd 106.42 Pd.upf
CELL_PARAMETERS angstrom
5.875 -0.030 -0.017
0.032 5.808 0.006
0.032 2.899 5.033
ATOMIC_POSITIONS crystal
La 0.810 0.667 0.667
La 0.190 0.333 0.333
Si 0.000 0.000 0.000
Pd 0.300 0.338 0.830
Pd 0.300 0.830 0.830
Pd 0.300 0.830 0.338
Pd 0.700 0.662 0.170
Pd 0.700 0.170 0.170
Pd 0.700 0.170 0.662

***

Record 6
! PBE-GGA LiMg2Au, relaxed; values from VASP
! Total magnetization   0.000 μB/cell
! Formation enthalpy at 0 K   -0.359 eV/atom
! SG   F-43m, No. 216
! Raw total energy   -2.45 eV/atom
! Fermi-level density of states   0.4947 states/eV/atom
&SYSTEM
  ibrav = 0, nat = 4, ntyp = 3
/
ATOMIC_SPECIES
Li 6.94 Li.upf
Mg 24.30 Mg.upf
Au 196.97 Au.upf
CELL_PARAMETERS angstrom
-3.151 -2.082 -2.733
0.565 -4.461 -1.230
-2.810 -3.277 1.759
ATOMIC_POSITIONS crystal
Li 0.500 0.500 0.500
Mg 0.000 0.000 0.000
Mg 0.250 0.250 0.250
Au 0.750 0.750 0.750